A geometry-optimized Eu2TlCl5 structure, computed with PBE-GGA.

Properties
- magnetic moment (μB/cell) = 56.0
- uncorrected formation energy (kJ/mol of formula units) = -1578

Lattice parameters (Å, degrees): 8.9704 7.9035 12.7819 90.00 90.08 90.00
Closest atoms and distances in Å follow each position.
Space group P2_1/c (No. 14)
Symmetry-distinct sites (fractional):
1 Eu 0.0031 0.0199 0.1785 x4  8 Cl 2.97-3.09
2 Eu 0.2473 0.0683 0.4950 x4  7 Cl 2.88-3.02
3 Tl 0.4858 0.5400 0.3322 x4  7 Cl 3.18-3.49
4 Cl 0.0389 0.6583 0.1019 x4  4 Eu 2.93-3.04
5 Cl 0.2081 0.6710 0.8205 x4  3 Eu 2.94-3.09
6 Cl 0.2101 0.0517 0.9971 x4  3 Eu 2.98-3.02, 1 Tl 3.33
7 Cl 0.2237 0.1929 0.7152 x4  3 Eu 2.97-3.05
8 Cl 0.4678 0.6615 0.0903 x4  2 Eu 2.88-2.95, 1 Tl 3.18



A geometry-optimized Ba2ZrScO structure, computed with PBE-GGA.

Properties
- magnetic moment (μB/cell) = 1.4
- DOS at the Fermi energy (states/eV per cell) = 6.1
- uncorrected formation energy (kJ/mol of formula units) = -323

Lattice parameters (Å, degrees): 5.9120 5.9120 4.2402 90.00 90.00 90.00
Closest atoms and distances in Å follow each position.
Space group P4/mmm (No. 123)
Symmetry-distinct sites (fractional):
1 Ba 0.0000 0.5000 0.0000 x2  2 O 2.96
2 Zr 0.0000 0.0000 0.5000 x1  2 O 2.12
3 Sc 0.5000 0.5000 0.5000 x1  8 Ba 3.64
4 O 0.0000 0.0000 0.0000 x1  2 Zr 2.12